Below is a relaxed Na2MoBr5 crystal, with properties calculated at the PBE level.

Unit cell a=7.876 b=7.876 c=13.822 alpha=90.00 beta=90.00 gamma=140.57
Fractional positions:
1 Na 0.150 0.850 0.561
2 Na 0.150 0.850 0.939
3 Na 0.850 0.150 0.061
4 Na 0.850 0.150 0.439
5 Mo 0.171 0.829 0.250
6 Mo 0.829 0.171 0.750
7 Br 0.048 0.952 0.120
8 Br 0.048 0.952 0.380
9 Br 0.294 0.706 0.110
10 Br 0.294 0.706 0.390
11 Br 0.298 0.702 0.750
12 Br 0.702 0.298 0.250
13 Br 0.706 0.294 0.610
14 Br 0.706 0.294 0.890
15 Br 0.952 0.048 0.620
16 Br 0.952 0.048 0.880

Calculated values
density: 3.30 g/cm3
formation energy without anion corrections: -0.96 eV/atom

***

Below is a relaxed Na2MoBr crystal, with properties calculated at the PBE level.

Unit cell a=5.523 b=5.523 c=5.523 alpha=60.00 beta=60.00 gamma=60.00
Fractional positions:
1 Na 0.250 0.250 0.250
2 Na 0.750 0.750 0.750
3 Mo 0.000 0.000 0.000
4 Br 0.500 0.500 0.500

Calculated values
density: 3.09 g/cm3
formation energy without anion corrections: 0.69 eV/atom

***

What is the formula in the first record? Na2MoBr5